(1)
First-principles (PBE) data for crystalline Tm2SiSnRh6 at its relaxed geometry, as listed in Alexandria.

abc: 6.528 6.528 6.528
angles: 120.06 119.95 89.99
Fractional positions:
Tm 0.250 0.250 0.000
Tm 0.750 0.750 0.000
Si 0.500 0.000 0.500
Sn 0.000 0.500 0.500
Rh 0.264 0.237 0.501
Rh 0.264 0.763 0.027
Rh 0.264 0.764 0.500
Rh 0.736 0.236 0.500
Rh 0.736 0.237 0.973
Rh 0.736 0.763 0.499

DOS at the Fermi energy	0.159	states/eV per atom
raw formation energy	-259	kJ/mol of formula units
energy	-6.52	eV/atom

***

(2)
First-principles (PBE) data for crystalline In2FeGeI at its relaxed geometry, as listed in Alexandria.

abc: 5.283 5.283 4.528
angles: 90.00 90.00 90.00
Fractional positions:
In 0.000 0.500 0.000
In 0.500 0.000 0.000
Fe 0.000 0.000 0.000
Ge 0.000 0.000 0.500
I 0.500 0.500 0.500

DOS at the Fermi energy	0.776	states/eV per atom
raw formation energy	7	kJ/mol of formula units
energy	-4.01	eV/atom

***

Copy entry 2 word for word.
First-principles (PBE) data for crystalline In2FeGeI at its relaxed geometry, as listed in Alexandria.

abc: 5.283 5.283 4.528
angles: 90.00 90.00 90.00
Fractional positions:
In 0.000 0.500 0.000
In 0.500 0.000 0.000
Fe 0.000 0.000 0.000
Ge 0.000 0.000 0.500
I 0.500 0.500 0.500

DOS at the Fermi energy	0.776	states/eV per atom
raw formation energy	7	kJ/mol of formula units
energy	-4.01	eV/atom

***

DOS at the Fermi energy of number 2 (In2FeGeI)?
0.776 states/eV per atom

***

The lowest raw formation energy belongs to which entry?
Tm2SiSnRh6